[1]
Here is a relaxed AlAg5Au4 crystal from Alexandria. Energies are from PBE.

Unit cell a=4.9600 b=5.8744 c=6.5424 alpha=103.36 beta=104.89 gamma=77.13
Atoms (fractional coordinates):
Al  0.5000  0.0000  0.0000
Ag  0.2924  0.2066  0.6038
Ag  0.1044  0.4065  0.2054
Ag  0.8956  0.5935  0.7946
Ag  0.5000  0.5000  0.0000
Ag  0.7076  0.7934  0.3962
Au  0.6922  0.2830  0.3830
Au  0.1135  0.8997  0.1930
Au  0.3078  0.7170  0.6170
Au  0.8865  0.1003  0.8070

Output
* total energy: -3.20 eV per atom
* E_form: -0.089 eV per atom

***

[2]
Here is a relaxed U2InRu5 crystal from Alexandria. Energies are from PBE.

Unit cell a=4.1845 b=5.7073 c=11.3255 alpha=90.00 beta=90.00 gamma=90.00
Atoms (fractional coordinates):
U  0.5000  0.3127  0.3605
U  0.5000  0.6873  0.6395
U  0.5000  0.1873  0.8605
U  0.5000  0.8127  0.1395
In  0.0000  0.0000  0.5000
In  0.0000  0.5000  0.0000
Ru  0.5000  0.2862  0.1218
Ru  0.5000  0.7138  0.8782
Ru  0.5000  0.7862  0.3782
Ru  0.5000  0.2138  0.6218
Ru  0.0000  0.9472  0.7525
Ru  0.0000  0.0528  0.2475
Ru  0.0000  0.4472  0.7475
Ru  0.0000  0.5528  0.2525
Ru  0.0000  0.5000  0.5000
Ru  0.0000  0.0000  0.0000

Output
* total energy: -9.27 eV per atom
* E_form: -0.309 eV per atom

***

[3]
Here is a relaxed TcAs2Br crystal from Alexandria. Energies are from PBE.

Unit cell a=3.0976 b=3.0961 c=8.6125 alpha=90.00 beta=90.00 gamma=90.00
Atoms (fractional coordinates):
As  0.0000  0.0000  0.9197
As  0.0000  0.0000  0.5803
Tc  0.5000  0.5000  0.7500
Br  0.5000  0.5000  0.2500

Output
* energy relative to the elements, uncorrected: -0.2 kcal/mol of atoms
* total energy: -5.34 eV per atom

***

[4]
Here is a relaxed HfTa3Rh6 crystal from Alexandria. Energies are from PBE.

Unit cell a=4.0180 b=8.6503 c=9.1222 alpha=92.43 beta=90.00 gamma=90.00
Atoms (fractional coordinates):
Hf  0.2500  0.9407  0.6225
Hf  0.7500  0.0593  0.3775
Ta  0.2500  0.5595  0.4077
Ta  0.7500  0.4405  0.5923
Ta  0.2500  0.3445  0.7972
Ta  0.7500  0.6555  0.2028
Ta  0.2500  0.7539  0.9770
Ta  0.7500  0.2461  0.0230
Rh  0.2500  0.4607  0.1010
Rh  0.7500  0.5393  0.8990
Rh  0.2500  0.1569  0.1938
Rh  0.7500  0.8431  0.8062
Rh  0.2500  0.6368  0.7002
Rh  0.7500  0.3632  0.2998
Rh  0.2500  0.2455  0.4953
Rh  0.7500  0.7545  0.5047
Rh  0.2500  0.8511  0.2966
Rh  0.7500  0.1489  0.7034
Rh  0.2500  0.0617  0.9054
Rh  0.7500  0.9383  0.0946

Output
* total energy: -9.57 eV per atom
* E_form: -0.609 eV per atom

***

[5]
Here is a relaxed ZnInSn3 crystal from Alexandria. Energies are from PBE.

Unit cell a=5.6593 b=5.6593 c=5.6593 alpha=90.00 beta=90.00 gamma=90.00
Atoms (fractional coordinates):
Zn  0.5000  0.5000  0.5000
Sn  0.0000  0.5000  0.0000
Sn  0.0000  0.0000  0.5000
Sn  0.5000  0.0000  0.0000
In  0.0000  0.0000  0.0000

Output
* total energy: -2.48 eV per atom
* E_form: 0.721 eV per atom

***

[6]
Here is a relaxed Tb2Tm3Th4 crystal from Alexandria. Energies are from PBE.

Unit cell a=3.5059 b=6.1048 c=14.4210 alpha=77.77 beta=90.00 gamma=106.69
Atoms (fractional coordinates):
Tb  0.3970  0.7940  0.2214
Tb  0.6030  0.2060  0.7786
Tm  0.3627  0.7254  0.6515
Tm  0.0000  0.0000  0.0000
Tm  0.6373  0.2746  0.3485
Th  0.6977  0.3954  0.1067
Th  0.1206  0.2413  0.5534
Th  0.8794  0.7587  0.4466
Th  0.3023  0.6046  0.8933

Output
* total energy: -5.71 eV per atom
* E_form: 0.103 eV per atom

***

[7]
Here is a relaxed FeSe2SN crystal from Alexandria. Energies are from PBE.

Unit cell a=4.8493 b=4.8493 c=3.4086 alpha=90.00 beta=90.00 gamma=90.00
Atoms (fractional coordinates):
S  0.5000  0.5000  0.5000
Fe  0.0000  0.0000  0.0000
Se  0.0000  0.5000  0.0000
Se  0.5000  0.0000  0.0000
N  0.0000  0.0000  0.5000

Output
* energy relative to the elements, uncorrected: 12.7 kcal/mol of atoms
* total energy: -5.03 eV per atom

***

[8]
Here is a relaxed BaLa2Co crystal from Alexandria. Energies are from PBE.

Unit cell a=4.9837 b=4.9837 c=4.9764 alpha=90.00 beta=90.00 gamma=89.80
Atoms (fractional coordinates):
Ba  0.5000  0.0000  0.5000
Co  0.0000  0.5000  0.5000
La  0.0000  0.0000  0.0000
La  0.5000  0.5000  0.0000

Output
* total energy: -4.17 eV per atom
* E_form: 0.550 eV per atom

***

[9]
Here is a relaxed TlAgSb2Pt crystal from Alexandria. Energies are from PBE.

Unit cell a=5.2347 b=5.2964 c=5.2347 alpha=90.00 beta=90.00 gamma=90.00
Atoms (fractional coordinates):
Sb  0.0000  0.0000  0.5000
Sb  0.5000  0.0000  0.0000
Tl  0.5000  0.5000  0.5000
Ag  0.0000  0.5000  0.0000
Pt  0.0000  0.0000  0.0000

Output
* energy relative to the elements, uncorrected: 4.5 kcal/mol of atoms
* total energy: -3.70 eV per atom

***

[10]
Here is a relaxed UPaBr2O6 crystal from Alexandria. Energies are from PBE.

Unit cell a=6.1155 b=6.1160 c=6.0919 alpha=60.06 beta=60.08 gamma=90.45
Atoms (fractional coordinates):
U  0.5000  0.5000  0.0000
Pa  0.0000  0.0000  0.0000
Br  0.2500  0.7499  0.4999
Br  0.7500  0.2501  0.5001
O  0.2498  0.7502  0.0000
O  0.7436  0.7436  0.0000
O  0.2608  0.2608  0.4783
O  0.7502  0.2498  0.0000
O  0.2564  0.2564  0.0000
O  0.7392  0.7392  0.5217

Output
* energy relative to the elements, uncorrected: -48.4 kcal/mol of atoms
* total energy: -7.49 eV per atom

***

[11]
Here is a relaxed La6YTm8 crystal from Alexandria. Energies are from PBE.

Unit cell a=9.7308 b=9.7308 c=8.3182 alpha=54.20 beta=54.20 gamma=60.00
Atoms (fractional coordinates):
La  0.4286  0.1658  0.7851
La  0.8342  0.3795  0.2149
La  0.3795  0.5714  0.2149
La  0.6205  0.4286  0.7851
La  0.1658  0.6205  0.7851
La  0.5714  0.8342  0.2149
Y  0.0000  0.0000  0.0000
Tm  0.6235  0.1318  0.2959
Tm  0.8682  0.0512  0.7041
Tm  0.0512  0.3765  0.7041
Tm  0.7731  0.7731  0.6806
Tm  0.2269  0.2269  0.3194
Tm  0.9488  0.6235  0.2959
Tm  0.1318  0.9488  0.2959
Tm  0.3765  0.8682  0.7041

Output
* total energy: -4.62 eV per atom
* E_form: 0.165 eV per atom

***

[12]
Here is a relaxed Pm2Zr3Si4 crystal from Alexandria. Energies are from PBE.

Unit cell a=7.2044 b=7.4094 c=7.4164 alpha=90.00 beta=90.00 gamma=108.14
Atoms (fractional coordinates):
Pm  0.5738  0.1912  0.3289
Pm  0.9262  0.8088  0.8289
Pm  0.4262  0.8088  0.6711
Pm  0.0738  0.1912  0.1711
Zr  0.0000  0.5000  0.5000
Zr  0.5000  0.5000  0.0000
Zr  0.7500  0.2538  0.8209
Zr  0.7500  0.7462  0.3209
Zr  0.2500  0.7462  0.1791
Zr  0.2500  0.2538  0.6791
Si  0.8741  0.0824  0.5346
Si  0.6259  0.9176  0.0346
Si  0.1259  0.9176  0.4654
Si  0.3741  0.0824  0.9654
Si  0.8722  0.4943  0.1220
Si  0.6278  0.5057  0.6220
Si  0.1278  0.5057  0.8780
Si  0.3722  0.4943  0.3780

Output
* energy relative to the elements, uncorrected: -19.8 kcal/mol of atoms
* total energy: -7.17 eV per atom